[1]
Below is a geometry-optimized SrIn2Ni structure, with properties calculated at the PBE-GGA level.

Cell lengths 7.9088, 4.5739, 6.3772 Å; angles 90.00, 114.49, 90.00 degrees
Last column: nearest neighbours and their distance in Å.
Space group Cm (No. 8)
Symmetry-distinct sites (fractional):
Sr 0.0000 0.0000 0.0000 (multiplicity 2)  1 Ni 3.16, 6 In 3.42-3.45
In 0.0415 0.5000 0.6254 (multiplicity 2)  3 Ni 2.68, 3 In 2.99-3.00
In 0.2935 0.5000 0.3813 (multiplicity 2)  3 Ni 2.80, 3 In 2.99-3.00
Ni 0.1810 0.0000 0.5437 (multiplicity 2)  6 In 2.68-2.80

Summary:
As for the energy of formation from the pure elements: -24.1 kJ per mole of atoms. Its volume is 209.9 Å³/cell.

[2]
Below is a geometry-optimized Sr8In2Ni structure, with properties calculated at the PBE-GGA level.

Cell lengths 24.4701, 4.4530, 8.9194 Å; angles 90.00, 93.63, 90.00 degrees
Last column: nearest neighbours and their distance in Å.
Space group C2/m (No. 12)
Symmetry-distinct sites (fractional):
Sr 0.0093 0.0000 0.2191 (multiplicity 4)  2 Ni 2.96
Sr 0.0984 0.5000 0.5292 (multiplicity 4)  2 In 3.41
Sr 0.1230 0.5000 0.0123 (multiplicity 4)  1 Ni 3.01
Sr 0.2330 0.0000 0.6999 (multiplicity 4)  3 In 3.43-3.84
In 0.1604 0.0000 0.3057 (multiplicity 4)  7 Sr 3.41-3.73
Ni 0.0000 0.5000 0.0000 (multiplicity 2)  6 Sr 2.96-3.01

Summary:
As for the energy of formation from the pure elements: -12.5 kJ per mole of atoms. Its volume is 969.9 Å³/cell.

[3]
Below is a geometry-optimized SrIn2Ni structure, with properties calculated at the PBE-GGA level.

Cell lengths 5.5184, 5.5184, 16.7163 Å; angles 90.00, 90.00, 90.00 degrees
Last column: nearest neighbours and their distance in Å.
Space group I-42d (No. 122)
Symmetry-distinct sites (fractional):
Sr 0.0000 0.0000 0.0000 (multiplicity 4)  4 In 3.50, 4 Ni 3.90
In 0.0557 0.2500 0.6250 (multiplicity 8)  2 Ni 2.52
Ni 0.0000 0.0000 0.5000 (multiplicity 4)  4 In 2.52

Summary:
As for the energy of formation from the pure elements: 1.7 kJ per mole of atoms. Its volume is 509.1 Å³/cell.